## ZrCuBiW (PBE-GGA)

Data for a relaxed ZrCuBiW crystal.

As for the energy above the most stable polymorph in this dataset: 0 meV/atom. The theoretical density comes out at 12.13 Mg/m³. The calculated total energy comes out at -6.787 eV per atom. As for the size of the total moment: 0.002 μB/atom. For the calculated volume, the calculation gives 18.74 Å³/atom.

It has space group F-43m (No. 216), with a = 6.693 Å, b = 6.693 Å, c = 6.693 Å, α = 90.00°, β = 90.00° and γ = 90.00°. The inequivalent atoms are Zr at (0.000, 0.000, 0.000), Cu at (0.250, 0.250, 0.750), Bi at (0.250, 0.250, 0.250) and W at (0.000, 0.000, 0.500).



## NbTlCuTeSe2 (PBE-GGA)

Data for a relaxed NbTlCuTeSe2 crystal.

The theoretical density comes out at 7.16 Mg/m³. The calculated total energy comes out at -4.798 eV per atom. As for the size of the total moment: 0.086 μB/atom. For the calculated volume, the calculation gives 24.99 Å³/atom.

It has space group Cmcm (No. 63), with a = 3.702 Å, b = 15.727 Å, c = 10.302 Å, α = 90.00°, β = 90.00° and γ = 90.00°. The inequivalent atoms are Nb at (0.000, 0.000, 0.000), Tl at (0.000, 0.230, 0.250), Cu at (0.000, 0.463, 0.750), Te at (0.000, 0.081, 0.750) and Se at (0.000, 0.383, 0.552).